Entry from Alexandria: crystalline Sb2TeWF at its relaxed geometry (PBE with a Hubbard U).

Properties
Relative energy among the computed polymorphs (meV/atom): 52
Total moment (μB/f.u.): 0.00

a = 5.269 Å, b = 5.269 Å, c = 5.257 Å
α = 90.00°, β = 90.00°, γ = 90.00°
Space group P4/mmm (No. 123)
Symmetry-distinct sites (fractional):
Sb 0.000 0.500 0.000 (multiplicity 2)
Te 0.000 0.000 0.500 (multiplicity 1)
W 0.000 0.000 0.000 (multiplicity 1)
F 0.500 0.500 0.500 (multiplicity 1)